[1]
CaPb4Au | the Alexandria database | PBE-GGA | optimized geometry; ρ = 9.48 Mg/m³; E_form = 26.6 meV/atom
1.0
0.730 0.343 6.365
-0.786 5.605 3.021
-5.109 0.924 3.769
Ca Pb Au
1 4 1
direct
0.000 0.000 0.000 Ca
0.875 0.375 0.375 Pb
0.375 0.375 0.875 Pb
0.375 0.875 0.375 Pb
0.375 0.375 0.375 Pb
0.750 0.750 0.750 Au



[2]
CaPbAu | the Alexandria database | PBE-GGA | optimized geometry; ρ = 9.41 Mg/m³; E_form = -558.8 meV/atom
1.0
-3.983 -2.817 -0.624
3.593 -1.458 3.025
-1.685 1.752 2.846
Pb Ca Au
1 1 1
direct
0.333 0.667 0.833 Pb
0.667 0.333 0.333 Ca
0.000 0.000 0.833 Au



[3]
CaPbAu | the Alexandria database | PBE-GGA | optimized geometry; ρ = 9.43 Mg/m³; E_form = -510.4 meV/atom
1.0
-0.640 3.458 3.426
-4.702 0.964 -1.852
-2.058 -5.988 2.108
Ca Pb Au
2 2 2
direct
0.886 0.250 0.773 Ca
0.114 0.750 0.227 Ca
0.595 0.250 0.192 Pb
0.405 0.750 0.808 Pb
0.237 0.250 0.476 Au
0.763 0.750 0.524 Au



[4]
Ca4Pd2PbAu | the Alexandria database | PBE-GGA | optimized geometry; ρ = 6.61 Mg/m³; E_form = -634.7 meV/atom
1.0
-2.032 3.072 3.656
-4.922 1.597 -0.393
-4.848 -5.192 5.351
Ca Pd Pb Au
4 2 1 1
direct
0.380 0.380 0.861 Ca
0.871 0.871 0.388 Ca
0.129 0.129 0.612 Ca
0.620 0.620 0.139 Ca
0.747 0.747 0.760 Pd
0.253 0.253 0.240 Pd
0.000 0.000 0.000 Pb
0.500 0.500 0.500 Au



[5]
CaPdPbAu | the Alexandria database | PBE-GGA | optimized geometry; ρ = 10.34 Mg/m³; E_form = -517.4 meV/atom
1.0
5.000 0.000 0.000
2.500 4.330 0.000
2.500 1.443 4.083
Pb Ca Au Pd
1 1 1 1
direct
0.250 0.250 0.250 Pb
0.750 0.750 0.750 Ca
0.000 0.000 0.000 Au
0.500 0.500 0.500 Pd



[6]
CaPmPbAu | the Alexandria database | PBE-GGA | optimized geometry; ρ = 8.96 Mg/m³; E_form = -673.7 meV/atom
1.0
-0.007 -4.480 -2.951
2.892 -4.242 1.556
-2.464 -4.405 1.817
Pb Ca Au Pm
1 1 1 1
direct
0.500 0.500 0.500 Pb
0.250 0.250 0.250 Ca
0.000 0.000 0.000 Au
0.750 0.750 0.750 Pm



[7]
CaPrPbAu | the Alexandria database | PBE-GGA | optimized geometry; ρ = 8.69 Mg/m³; E_form = -672.8 meV/atom
1.0
-1.988 -4.991 -0.620
3.045 -4.296 1.234
-1.186 -2.998 4.343
Pb Pr Ca Au
1 1 1 1
direct
0.500 0.500 0.500 Pb
0.750 0.750 0.750 Pr
0.250 0.250 0.250 Ca
0.000 0.000 0.000 Au



[8]
CaPuPbAu | the Alexandria database | PBE-GGA | optimized geometry; ρ = 10.63 Mg/m³; E_form = -418.4 meV/atom
1.0
5.337 0.000 0.000
2.669 4.622 0.000
2.669 1.541 4.358
Pb Ca Au Pu
1 1 1 1
direct
0.750 0.750 0.750 Pb
0.000 0.000 0.000 Ca
0.250 0.250 0.250 Au
0.500 0.500 0.500 Pu